Record 1
DFT (PBE-GGA) results for a relaxed structure of Li3DyHg4.

Output
As for the formation energy: -0.3808 eV/atom.

```
Li3DyHg4
1.0
2.436 1.407 8.060
-2.436 1.407 8.060
0.000 -2.813 8.060
Li Dy Hg
3 1 4
Cartesian
0.000 0.000 0.000
0.000 0.000 6.109
0.000 0.000 18.072
0.000 0.000 12.091
0.000 0.000 2.820
0.000 0.000 8.989
0.000 0.000 15.192
0.000 0.000 21.361
```

Record 2
DFT (PBE-GGA) results for a relaxed structure of TlMo2Ru.

Output
For the energy above the most stable polymorph in this dataset, the calculation gives 0.43 eV/f.u. As for the formation energy: 0.4994 eV/atom.

```
TlMo2Ru
1.0
1.614 -2.396 0.000
1.614 2.396 0.000
0.000 0.000 8.988
Tl Mo Ru
1 2 1
Cartesian
0.000 0.000 0.000
0.000 0.000 4.576
1.614 0.000 2.516
1.614 0.000 6.603
```

Record 3
DFT (PBE-GGA) results for a relaxed structure of Y2MgNi2.

Output
As for the formation energy: -0.0579 eV/atom.

```
Y2MgNi2
1.0
8.071 0.000 0.000
0.000 8.071 0.000
0.000 0.000 3.210
Y Mg Ni
4 2 4
Cartesian
1.191 2.845 0.000
2.845 6.881 0.000
5.226 1.191 0.000
6.881 5.226 0.000
0.000 0.000 0.000
4.036 4.036 0.000
1.174 5.210 1.605
2.862 1.174 1.605
5.210 6.897 1.605
6.897 2.862 1.605
```

| no. | final energy (eV/f.u.) |
| --- | --- |
| 1 | -14.60 |
| 2 | -31.31 |
| 3 | -26.37 |